(1)
Density functional theory data (PBE-GGA) for Pr2AlZn2Pd5 after structural relaxation.

Calculated values
DOS at the Fermi energy, states/eV per cell: 10.10
Energy of formation, eV/atom: -0.66

a = 10.0159 Å, b = 10.0159 Å, c = 3.6747 Å
α = 90.00°, β = 90.00°, γ = 90.00°
Space group P4/mbm (No. 127)
Asymmetric unit:
Pr1 0.1766 0.3234 0.0000 (multiplicity 4)
Al1 0.0000 0.0000 0.0000 (multiplicity 2)
Zn1 0.1221 0.6221 0.0000 (multiplicity 4)
Pd1 0.0000 0.5000 0.5000 (multiplicity 2)
Pd2 0.0584 0.8002 0.5000 (multiplicity 8)

(2)
Density functional theory data (PBE-GGA) for Sr2ZrI after structural relaxation.

Calculated values
DOS at the Fermi energy, states/eV per cell: 14.99
Raw formation energy, eV/atom: 0.294

a = 9.3352 Å, b = 9.3352 Å, c = 7.4849 Å
α = 90.00°, β = 90.00°, γ = 90.00°
Space group I-42d (No. 122)
Asymmetric unit:
Sr1 0.2245 0.2500 0.1250 (multiplicity 8)
Zr1 0.0000 0.0000 0.5000 (multiplicity 4)
I1 0.0000 0.0000 0.0000 (multiplicity 4)

(3)
Density functional theory data (PBE-GGA) for CaBRuO6 after structural relaxation.

Calculated values
Raw formation energy, eV/atom: -1.645

a = 4.8770 Å, b = 4.9235 Å, c = 5.3573 Å
α = 89.63°, β = 69.34°, γ = 89.90°
Space group P1 (No. 1)
Asymmetric unit:
Ca1 0.0000 0.0000 0.0000 (multiplicity 1)
B1 0.5321 0.5718 0.1002 (multiplicity 1)
Ru1 0.6727 0.4873 0.5990 (multiplicity 1)
O1 0.3605 0.2808 0.6815 (multiplicity 1)
O2 0.3721 0.7091 0.9768 (multiplicity 1)
O3 0.5903 0.6903 0.3133 (multiplicity 1)
O4 0.6858 0.3443 0.9720 (multiplicity 1)
O5 0.9037 0.7453 0.6415 (multiplicity 1)
O6 0.9421 0.2651 0.3829 (multiplicity 1)

(4)
Density functional theory data (PBE-GGA) for AlCuRe2W after structural relaxation.

Calculated values
DOS at the Fermi energy, states/eV per cell: 5.49
Energy of formation, eV/atom: 2.01

a = 4.7340 Å, b = 4.7340 Å, c = 4.7989 Å
α = 90.00°, β = 90.00°, γ = 90.00°
Space group P4/mmm (No. 123)
Asymmetric unit:
Al1 0.0000 0.0000 0.0000 (multiplicity 1)
Cu1 0.5000 0.5000 0.0000 (multiplicity 1)
Re1 0.0000 0.5000 0.5000 (multiplicity 2)
W1 0.0000 0.0000 0.5000 (multiplicity 1)

(5)
Density functional theory data (PBE-GGA) for Ba6As2Cl3O after structural relaxation.

Calculated values
DOS at the Fermi energy, states/eV per cell: 6.02
Raw formation energy, eV/atom: -1.816

a = 7.8157 Å, b = 13.5464 Å, c = 8.0829 Å
α = 90.00°, β = 108.98°, γ = 90.00°
Space group C2/m (No. 12)
Asymmetric unit:
Ba1 0.2275 0.1537 0.2199 (multiplicity 8)
Ba2 0.2311 0.0000 0.7832 (multiplicity 4)
As1 0.0000 0.3336 0.0000 (multiplicity 4)
Cl1 0.0000 0.1726 0.5000 (multiplicity 4)
Cl2 0.0000 0.5000 0.5000 (multiplicity 2)
O1 0.0000 0.0000 0.0000 (multiplicity 2)

(6)
Density functional theory data (PBE-GGA) for HoMgSiPd after structural relaxation.

Calculated values
DOS at the Fermi energy, states/eV per cell: 6.53
Raw formation energy, eV/atom: -0.590

a = 6.7235 Å, b = 6.7235 Å, c = 6.7235 Å
α = 90.00°, β = 90.00°, γ = 90.00°
Space group F-43m (No. 216)
Asymmetric unit:
Ho1 0.0000 0.0000 0.0000 (multiplicity 4)
Mg1 0.0000 0.0000 0.5000 (multiplicity 4)
Si1 0.2500 0.2500 0.2500 (multiplicity 4)
Pd1 0.2500 0.2500 0.7500 (multiplicity 4)

(7)
Density functional theory data (PBE-GGA) for HgRhPb2 after structural relaxation.

Calculated values
DOS at the Fermi energy, states/eV per cell: 9.80
Energy of formation, eV/atom: 0.08

a = 9.0441 Å, b = 9.0441 Å, c = 5.4449 Å
α = 90.00°, β = 90.00°, γ = 90.00°
Space group I-42d (No. 122)
Asymmetric unit:
Hg1 0.0000 0.0000 0.0000 (multiplicity 4)
Rh1 0.0000 0.0000 0.5000 (multiplicity 4)
Pb1 0.1476 0.2500 0.6250 (multiplicity 8)

(8)
Density functional theory data (PBE-GGA) for VCuPdRh after structural relaxation.

Calculated values
DOS at the Fermi energy, states/eV per cell: 15.36
Energy of formation, eV/atom: -0.17

a = 6.0417 Å, b = 6.0417 Å, c = 6.0417 Å
α = 90.00°, β = 90.00°, γ = 90.00°
Space group F-43m (No. 216)
Asymmetric unit:
V1 0.0000 0.0000 0.0000 (multiplicity 4)
Cu1 0.0000 0.0000 0.5000 (multiplicity 4)
Pd1 0.2500 0.2500 0.2500 (multiplicity 4)
Rh1 0.2500 0.2500 0.7500 (multiplicity 4)

(9)
Density functional theory data (PBE-GGA) for MnCuP2 after structural relaxation.

Calculated values
DOS at the Fermi energy, states/eV per cell: 13.45
Energy of formation, eV/atom: 0.18

a = 5.9169 Å, b = 5.9169 Å, c = 5.9169 Å
α = 90.00°, β = 90.00°, γ = 90.00°
Space group Fm-3m (No. 225)
Asymmetric unit:
Mn1 0.0000 0.0000 0.0000 (multiplicity 4)
Cu1 0.0000 0.0000 0.5000 (multiplicity 4)
P1 0.2500 0.2500 0.2500 (multiplicity 8)